(1)
## Ce7Pu2Pt2 (PBE)

Data for a geometry-optimized Ce7Pu2Pt2 structure. Values from VASP.

Summary:
Energy relative to the elements (meV/atom): -331
SG: Cm

Cell and atoms, written as Quantum ESPRESSO input:
```
&SYSTEM
  ibrav = 0, nat = 11, ntyp = 3
/
ATOMIC_SPECIES
Ce 140.12 Ce.upf
Pu 244.00 Pu.upf
Pt 195.08 Pt.upf
CELL_PARAMETERS angstrom
3.1456 -4.9793 0.0000
3.1456 4.9793 0.0000
-1.8054 0.0000 8.4629
ATOMIC_POSITIONS crystal
Ce 0.0000 0.0000 0.0000
Ce 0.1155 0.7224 0.4672
Ce 0.3569 0.6856 0.1061
Ce 0.3768 0.3768 0.7183
Ce 0.6856 0.3569 0.1061
Ce 0.7224 0.1155 0.4672
Ce 0.7928 0.7928 0.6658
Pu 0.0566 0.0566 0.3121
Pu 0.4522 0.4522 0.3361
Pt 0.3933 0.9275 0.8181
Pt 0.9275 0.3933 0.8181
```

---

(2)
## Ac6Si3TeSe2 (PBE)

Data for a geometry-optimized Ac6Si3TeSe2 structure. Values from VASP.

Summary:
SG: C2/m
Formation energy without anion corrections (eV per atom): -1.1910

Cell and atoms, written as Quantum ESPRESSO input:
```
&SYSTEM
  ibrav = 0, nat = 12, ntyp = 4
/
ATOMIC_SPECIES
Ac 227.00 Ac.upf
Si 28.09 Si.upf
Te 127.60 Te.upf
Se 78.96 Se.upf
CELL_PARAMETERS angstrom
10.0469 -2.2923 0.0000
10.0469 2.2923 0.0000
-2.1943 0.0000 8.9833
ATOMIC_POSITIONS crystal
Ac 0.0023 0.0023 0.2329
Ac 0.3266 0.3266 0.4224
Ac 0.3361 0.3361 0.9094
Ac 0.6639 0.6639 0.0906
Ac 0.6734 0.6734 0.5776
Ac 0.9977 0.9977 0.7671
Si 0.1657 0.1657 0.3315
Si 0.5000 0.5000 0.0000
Si 0.8343 0.8343 0.6685
Te 0.5000 0.5000 0.5000
Se 0.1675 0.1675 0.8343
Se 0.8325 0.8325 0.1657
```

---

(3)
## U2CoSi4Ir3 (PBE)

Data for a geometry-optimized U2CoSi4Ir3 structure. Values from VASP.

Summary:
SG: P-4m2
Formation energy without anion corrections (eV per atom): -0.7146

Cell and atoms, written as Quantum ESPRESSO input:
```
&SYSTEM
  ibrav = 0, nat = 10, ntyp = 4
/
ATOMIC_SPECIES
U 238.03 U.upf
Co 58.93 Co.upf
Si 28.09 Si.upf
Ir 192.22 Ir.upf
CELL_PARAMETERS angstrom
4.0517 0.0000 0.0000
0.0000 4.0517 0.0000
0.0000 0.0000 9.8994
ATOMIC_POSITIONS crystal
U 0.0000 0.5000 0.2478
U 0.5000 0.0000 0.7522
Co 0.5000 0.5000 0.0000
Si 0.0000 0.0000 0.5000
Si 0.0000 0.5000 0.8725
Si 0.5000 0.0000 0.1275
Si 0.5000 0.5000 0.5000
Ir 0.0000 0.0000 0.0000
Ir 0.0000 0.5000 0.6324
Ir 0.5000 0.0000 0.3676
```

---

(4)
## Ca4ScTa3N8 (PBE)

Data for a geometry-optimized Ca4ScTa3N8 structure. Values from VASP.

Summary:
SG: R-3m
Formation energy without anion corrections (eV per atom): -1.3409

Cell and atoms, written as Quantum ESPRESSO input:
```
&SYSTEM
  ibrav = 0, nat = 16, ntyp = 4
/
ATOMIC_SPECIES
Ca 40.08 Ca.upf
Sc 44.96 Sc.upf
Ta 180.95 Ta.upf
N 14.01 N.upf
CELL_PARAMETERS angstrom
3.2106 1.8536 5.5554
-3.2106 1.8536 5.5554
0.0000 -3.7072 5.5554
ATOMIC_POSITIONS crystal
Ca 0.0000 0.0000 0.0000
Ca 0.0000 0.5000 0.5000
Ca 0.5000 0.0000 0.5000
Ca 0.5000 0.5000 0.0000
Sc 0.5000 0.5000 0.5000
Ta 0.0000 0.0000 0.5000
Ta 0.0000 0.5000 0.0000
Ta 0.5000 0.0000 0.0000
N 0.2256 0.7423 0.7423
N 0.2377 0.2377 0.2377
N 0.2577 0.2577 0.7744
N 0.2577 0.7744 0.2577
N 0.7423 0.2256 0.7423
N 0.7423 0.7423 0.2256
N 0.7623 0.7623 0.7623
N 0.7744 0.2577 0.2577
```

---

(5)
## CaTlBr2Cl (PBE)

Data for a geometry-optimized CaTlBr2Cl structure. Values from VASP.

Summary:
SG: P4/mmm
Formation energy without anion corrections (eV per atom): -1.6165

Cell and atoms, written as Quantum ESPRESSO input:
```
&SYSTEM
  ibrav = 0, nat = 5, ntyp = 4
/
ATOMIC_SPECIES
Ca 40.08 Ca.upf
Tl 204.38 Tl.upf
Br 79.90 Br.upf
Cl 35.45 Cl.upf
CELL_PARAMETERS angstrom
5.7251 0.0000 0.0000
0.0000 5.7251 0.0000
0.0000 0.0000 5.3245
ATOMIC_POSITIONS crystal
Ca 0.0000 0.0000 0.0000
Tl 0.5000 0.5000 0.5000
Br 0.0000 0.5000 0.0000
Br 0.5000 0.0000 0.0000
Cl 0.0000 0.0000 0.5000
```

---

(6)
## ZnIn3Ge (PBE)

Data for a geometry-optimized ZnIn3Ge structure. Values from VASP.

Summary:
Energy relative to the elements (meV/atom): 446
SG: Pm-3m

Cell and atoms, written as Quantum ESPRESSO input:
```
&SYSTEM
  ibrav = 0, nat = 5, ntyp = 3
/
ATOMIC_SPECIES
Zn 65.41 Zn.upf
In 114.82 In.upf
Ge 72.64 Ge.upf
CELL_PARAMETERS angstrom
5.1811 0.0000 0.0000
0.0000 5.1811 0.0000
0.0000 0.0000 5.1811
ATOMIC_POSITIONS crystal
Zn 0.0000 0.0000 0.0000
In 0.0000 0.0000 0.5000
In 0.0000 0.5000 0.0000
In 0.5000 0.0000 0.0000
Ge 0.5000 0.5000 0.5000
```

---

DOS at the Fermi energy / states/eV per atom: 2.143 0.369 1.650 0.216 0.000 0.975